No. 1
BeTcAs, optimized geometry, DFT PBE-GGA; uncorrected energy = -6.532 eV/atom; energy relative to the lowest polymorph listed for this composition = 0.000 eV/atom; energy of formation from the pure elements = -27.5 kJ/mol of atoms
1.0
-2.317 2.614 -2.781
-0.782 -1.258 -4.212
-0.318 -1.654 4.135
Tc As Be
1 1 1
Cartesian
-2.071 0.906 -4.674
-0.003 0.001 -0.007
-1.025 0.448 -2.312

***

No. 2
LaNd5Er2Sc, optimized geometry, DFT PBE-GGA; uncorrected energy = -4.750 eV/atom; energy of formation from the pure elements = 15.8 kJ/mol of atoms
1.0
5.686 0.000 0.000
-2.843 10.096 0.000
0.000 0.000 10.545
Nd Er La Sc
10 4 2 2
Cartesian
0.000 7.562 0.198
2.843 9.743 5.463
2.843 4.516 8.669
0.000 9.792 7.819
0.000 0.353 0.190
0.000 6.013 7.458
2.843 0.304 2.547
0.000 5.580 3.396
2.843 2.534 5.471
2.843 4.083 2.185
0.000 2.260 3.271
0.000 2.342 7.763
2.843 7.836 8.544
2.843 7.754 2.490
0.000 8.325 4.810
2.843 1.771 10.082
2.843 6.163 5.420
0.000 3.932 0.147

***

Please write out number 2 again, unchanged.
LaNd5Er2Sc, optimized geometry, DFT PBE-GGA; uncorrected energy = -4.750 eV/atom; energy of formation from the pure elements = 15.8 kJ/mol of atoms
1.0
5.686 0.000 0.000
-2.843 10.096 0.000
0.000 0.000 10.545
Nd Er La Sc
10 4 2 2
Cartesian
0.000 7.562 0.198
2.843 9.743 5.463
2.843 4.516 8.669
0.000 9.792 7.819
0.000 0.353 0.190
0.000 6.013 7.458
2.843 0.304 2.547
0.000 5.580 3.396
2.843 2.534 5.471
2.843 4.083 2.185
0.000 2.260 3.271
0.000 2.342 7.763
2.843 7.836 8.544
2.843 7.754 2.490
0.000 8.325 4.810
2.843 1.771 10.082
2.843 6.163 5.420
0.000 3.932 0.147

***

Repeat the first record exactly.
BeTcAs, optimized geometry, DFT PBE-GGA; uncorrected energy = -6.532 eV/atom; energy relative to the lowest polymorph listed for this composition = 0.000 eV/atom; energy of formation from the pure elements = -27.5 kJ/mol of atoms
1.0
-2.317 2.614 -2.781
-0.782 -1.258 -4.212
-0.318 -1.654 4.135
Tc As Be
1 1 1
Cartesian
-2.071 0.906 -4.674
-0.003 0.001 -0.007
-1.025 0.448 -2.312